Compound: CaMgZn2
Source: Alexandria
Functional: meta-GGA SCAN
Structure: single point on PBEsol structure

For the density of states at the Fermi level, the calculation gives 0.600 states/eV/atom.

Cell: 4.7251 10.8580 6.5663 Å, 90.00 90.00 90.00°
With the nearest neighbours (Å) after each atom.
Space group Cmcm (No. 63)
Symmetry-distinct sites (fractional):
Ca  0.0000  0.0928  0.2500  10 Zn 3.13-3.46, 5 Mg 3.23-3.50
Mg  0.0000  0.2050  0.7500  6 Zn 2.86
Zn  0.0000  0.3895  0.0616  2 Zn 2.47-2.53


Compound: CaMg2Zn
Source: Alexandria
Functional: meta-GGA SCAN
Structure: single point on PBEsol structure

For the density of states at the Fermi level, the calculation gives 0.410 states/eV/atom.

Cell: 3.5349 5.1713 10.2541 Å, 90.00 90.00 90.00°
With the nearest neighbours (Å) after each atom.
Space group Immm (No. 71)
Symmetry-distinct sites (fractional):
Ca  0.0000  0.0000  0.0000  4 Zn 3.13, 8 Mg 3.39-3.42
Mg  0.0000  0.5000  0.2140  2 Zn 2.82
Zn  0.0000  0.0000  0.5000  4 Mg 2.82, 4 Ca 3.13


Compound: CaMg4Zn2
Source: Alexandria
Functional: meta-GGA SCAN
Structure: single point on PBEsol structure

For the density of states at the Fermi level, the calculation gives 0.478 states/eV/atom.

Cell: 4.7222 4.7222 23.7284 Å, 90.00 90.00 120.00°
With the nearest neighbours (Å) after each atom.
Space group R-3m (No. 166, hexagonal axes)
Symmetry-distinct sites (fractional):
Ca  0.0000  0.0000  0.0000  6 Zn 3.26, 8 Mg 3.29-3.37
Mg  0.0000  0.0000  0.1386  4 Zn 2.83-3.11, 6 Mg 3.02-3.03
Mg  0.0000  0.0000  0.4171  3 Zn 2.73, 3 Mg 3.02
Zn  0.0000  0.0000  0.2579  4 Mg 2.73-2.83


Compound: CaMgZn
Source: Alexandria
Functional: meta-GGA SCAN
Structure: single point on PBEsol structure

For the density of states at the Fermi level, the calculation gives 0.598 states/eV/atom.

Cell: 6.5732 7.4045 5.9239 Å, 90.00 90.00 90.00°
With the nearest neighbours (Å) after each atom.
Space group Pbcm (No. 57)
Symmetry-distinct sites (fractional):
Ca  0.0999  0.0904  0.2500  4 Zn 3.14-3.16, 2 Mg 3.35-3.36, 2 Ca 3.51
Mg  0.4171  0.0531  0.7500  4 Zn 2.83-2.87
Zn  0.2814  0.7500  0.0000  4 Mg 2.83-2.87, 2 Zn 2.96, 4 Ca 3.14-3.16


Compound: Ca2MgZn2
Source: Alexandria
Functional: meta-GGA SCAN
Structure: single point on PBEsol structure

For the density of states at the Fermi level, the calculation gives 0.660 states/eV/atom.

Cell: 4.3269 14.5229 3.9366 Å, 90.00 90.00 90.00°
With the nearest neighbours (Å) after each atom.
Space group Cmmm (No. 65)
Symmetry-distinct sites (fractional):
Ca  0.0000  0.1319  0.0000  6 Zn 3.09-3.12
Mg  0.0000  0.5000  0.5000  2 Zn 2.93
Zn  0.0000  0.2986  0.5000  2 Zn 2.58


Compound: Ca2MgZn
Source: Alexandria
Functional: meta-GGA SCAN
Structure: single point on PBEsol structure

For the density of states at the Fermi level, the calculation gives 0.509 states/eV/atom.

Cell: 3.5996 3.5996 8.5081 Å, 90.00 90.00 90.00°
With the nearest neighbours (Å) after each atom.
Space group P4mm (No. 99)
Symmetry-distinct sites (fractional):
Ca  0.0000  0.0000  0.0000  4 Zn 3.16, 1 Mg 3.24
Ca  0.5000  0.5000  0.3532  4 Mg 3.40, 4 Ca 3.60, 1 Zn 3.64
Mg  0.0000  0.0000  0.6187  4 Zn 2.89
Zn  0.5000  0.5000  0.7808  4 Mg 2.89, 4 Ca 3.16


Compound: Ca2MgZn
Source: Alexandria
Functional: meta-GGA SCAN
Structure: single point on PBEsol structure

For the density of states at the Fermi level, the calculation gives 0.819 states/eV/atom.

Cell: 5.4067 3.7132 6.3608 Å, 90.00 112.93 90.00°
With the nearest neighbours (Å) after each atom.
Space group P2/m (No. 10)
Symmetry-distinct sites (fractional):
Ca  0.0000  0.0000  0.0000  2 Mg 3.27, 4 Zn 3.28
Ca  0.0000  0.5000  0.5000  2 Zn 3.27, 4 Mg 3.28
Mg  0.5000  0.0000  0.5000  6 Ca 3.27-3.28
Zn  0.5000  0.5000  0.0000  6 Ca 3.27-3.28


Compound: Ca2MgZn
Source: Alexandria
Functional: meta-GGA SCAN
Structure: single point on PBEsol structure

For the density of states at the Fermi level, the calculation gives 0.809 states/eV/atom.

Cell: 4.9659 4.9659 17.7020 Å, 90.00 90.00 90.00°
With the nearest neighbours (Å) after each atom.
Space group I4/mmm (No. 139)
Symmetry-distinct sites (fractional):
Ca  0.0000  0.0000  0.1552  4 Zn 3.00
Ca  0.0000  0.5000  0.0000  8 Ca 3.51-3.70, 4 Mg 3.69
Mg  0.0000  0.0000  0.3462  4 Zn 3.01
Zn  0.0000  0.5000  0.2500  4 Ca 3.00, 4 Mg 3.01


What did we get for energy relative to the elements? Answer: -0.2215, -0.1092, -0.1246, -0.1709, -0.2425, -0.1141, 0.0907, -0.1080 eV/atom, in the order shown.
What did we get for electronic total energy? Answer: -10.6384, -8.3907, -8.2087, -9.5550, -10.5087, -9.5680, -9.3632, -9.5620 eV per atom, in the order shown.